1.
DFT (PBE) results for crystalline MgCo2Cu at its relaxed geometry.

```
MgCo2Cu
1.0
3.511 0.000 0.000
0.000 3.511 0.000
0.000 0.000 18.024
Mg Co Cu
4 8 4
direct
0.000 0.000 0.000
0.000 0.500 0.250
0.500 0.000 0.750
0.500 0.500 0.500
0.228 0.250 0.625
0.250 0.728 0.875
0.250 0.772 0.375
0.272 0.250 0.125
0.728 0.750 0.125
0.750 0.228 0.375
0.750 0.272 0.875
0.772 0.750 0.625
0.000 0.000 0.500
0.000 0.500 0.750
0.500 0.000 0.250
0.500 0.500 0.000
```

Values from the calculation:
Fermi-level density of states = 0.86 states/eV/atom
Energy of formation from the pure elements = 1.71 eV/f.u.

***

2.
DFT (PBE) results for crystalline NaTaPbO4 at its relaxed geometry.

```
NaTaPbO4
1.0
6.575 0.000 0.000
0.000 6.275 0.000
-1.078 0.000 6.731
Na Ta Pb O
2 2 2 8
direct
0.156 0.250 0.090
0.844 0.750 0.910
0.324 0.750 0.869
0.676 0.250 0.131
0.276 0.250 0.621
0.724 0.750 0.379
0.147 0.512 0.822
0.147 0.988 0.822
0.455 0.750 0.133
0.486 0.250 0.302
0.514 0.750 0.698
0.545 0.250 0.867
0.853 0.012 0.178
0.853 0.488 0.178
```

Values from the calculation:
Uncorrected formation energy = -2.09 eV per atom
Fermi-level density of states = 0.00 states/eV/atom

***

3.
DFT (PBE) results for crystalline Dy6FeBi2 at its relaxed geometry.

```
Dy6FeBi2
1.0
8.345 0.000 0.000
-4.172 7.227 0.000
0.000 0.000 4.152
Dy Fe Bi
6 1 2
direct
0.000 0.230 0.000
0.000 0.608 0.500
0.230 0.000 0.000
0.392 0.392 0.500
0.608 0.000 0.500
0.770 0.770 0.000
0.000 0.000 0.500
0.333 0.667 0.000
0.667 0.333 0.000
```

Values from the calculation:
Fermi-level density of states = 1.12 states/eV/atom
Energy of formation from the pure elements = -3.76 eV/f.u.

***

> Fermi-level density of states of number 1 (MgCo2Cu)?

0.86 states/eV/atom